No. 1
# LaReCl2

A relaxed structure of LaReCl2 (GGA-PBEsol, Alexandria via LeMat-Bulk).

Calculated values
raw formation energy = -0.2003 eV per atom

Unit cell a=9.2290 b=9.2290 c=9.2290 alpha=19.64 beta=19.64 gamma=19.64
With the nearest neighbours (Å) after each atom.
Positions (direct):
La: 0.0000 0.0000 0.0000  6 Cl 2.86, 6 La 3.15
Re: 0.5000 0.5000 0.5000  2 Cl 2.31
Cl: 0.4148 0.4148 0.4148  1 Re 2.31
Cl: 0.5852 0.5852 0.5852  1 Re 2.31


No. 2
# YTaTl2

A relaxed structure of YTaTl2 (GGA-PBEsol, Alexandria via LeMat-Bulk).

Calculated values
formation energy = 0.1527 eV/atom

Unit cell a=5.3458 b=5.3458 c=5.3458 alpha=129.67 beta=129.67 gamma=73.94
With the nearest neighbours (Å) after each atom.
Positions (direct):
Y: 0.0000 0.0000 0.0000  8 Tl 3.12, 4 Ta 3.21
Ta: 0.5000 0.5000 0.0000  8 Tl 3.12, 4 Y 3.21
Tl: 0.2500 0.7500 0.5000  4 Ta 3.12, 4 Y 3.12, 4 Tl 3.21
Tl: 0.7500 0.2500 0.5000  4 Ta 3.12, 4 Y 3.12, 4 Tl 3.21


No. 3
# LiZn2Te

A relaxed structure of LiZn2Te (GGA-PBEsol, Alexandria via LeMat-Bulk).

Calculated values
raw formation energy = -0.1460 eV per atom

Unit cell a=6.2535 b=6.2535 c=3.0855 alpha=103.22 beta=103.22 gamma=130.40
With the nearest neighbours (Å) after each atom.
Positions (direct):
Li: 0.0000 0.0000 0.0000  4 Te 2.62-2.75
Zn: 0.0000 0.5000 0.0000  4 Zn 2.62-2.75
Zn: 0.5000 0.0000 0.0000  4 Zn 2.62-2.75
Te: 0.5000 0.5000 0.0000  4 Li 2.62-2.75


No. 4
# ZnGaIO2

A relaxed structure of ZnGaIO2 (GGA-PBEsol, Alexandria via LeMat-Bulk).

Calculated values
raw formation energy = -0.4397 eV per atom

Unit cell a=3.7853 b=3.7853 c=6.0105 alpha=90.00 beta=90.00 gamma=90.00
With the nearest neighbours (Å) after each atom.
Positions (direct):
Zn: 0.0000 0.0000 0.0000  4 I 2.68
Ga: 0.5000 0.5000 0.5000  4 O 1.89
I: 0.5000 0.5000 0.0000  4 Zn 2.68
O: 0.0000 0.5000 0.5000  2 Ga 1.89
O: 0.5000 0.0000 0.5000  2 Ga 1.89